K3MgW2O9 | PBE with a Hubbard U | relaxed

a = 5.7054 Å, b = 5.7054 Å, c = 7.0321 Å
α = 90.00°, β = 90.00°, γ = 120.00°
Last column: magnetic moment on the atom in μB.
Sites, in units of the cell vectors:
K  0.0000  0.0000  0.0000  0.00
K  0.3333  0.6667  0.6637  0.00
K  0.6667  0.3333  0.3363  0.00
O  0.8268  0.1732  0.6795  0.08
O  0.5000  0.0000  0.0000  0.11
O  0.0000  0.5000  0.0000  0.11
O  0.8268  0.6536  0.6795  0.08
O  0.3464  0.1732  0.6795  0.08
O  0.1732  0.3464  0.3205  0.08
O  0.1732  0.8268  0.3205  0.08
O  0.6536  0.8268  0.3205  0.08
O  0.5000  0.5000  0.0000  0.11
W  0.6667  0.3333  0.8228  -0.06
W  0.3333  0.6667  0.1772  -0.06
Mg  0.0000  0.0000  0.5000  0.00

- DOS at the Fermi energy (states/eV/cell) = 7.6
- energy (eV per cell) = -94.54
- volume (Å³ per cell) = 198